First-principles (PBE-GGA) data for a relaxed TlMoPd2 crystal, as listed in Alexandria.

Output
Formation enthalpy at 0 K, meV/atom: 556
Magnetization, μB per formula unit: 1.46
Symmetry: No. 122
Raw total energy, eV per atom: -5.340
Energy above the lowest structure with this stoichiometry, meV/atom: 268

a = 5.927 Å, b = 5.927 Å, c = 5.927 Å
α = 103.15°, β = 103.15°, γ = 123.02°
Positions (direct):
Tl  0.000  0.000  0.000
Tl  0.750  0.250  0.500
Mo  0.250  0.750  0.500
Mo  0.500  0.500  0.000
Pd  0.149  0.625  0.024
Pd  0.375  0.399  0.524
Pd  0.601  0.125  0.976
Pd  0.875  0.851  0.476



First-principles (PBE-GGA) data for a relaxed Tl3MoPd crystal, as listed in Alexandria.

Output
Formation enthalpy at 0 K, meV/atom: 905
Magnetization, μB per formula unit: 4.58
Symmetry: No. 221
Raw total energy, eV per atom: -3.720

a = 5.304 Å, b = 5.304 Å, c = 5.304 Å
α = 90.00°, β = 90.00°, γ = 90.00°
Positions (direct):
Tl  0.000  0.000  0.500
Tl  0.000  0.500  0.000
Tl  0.500  0.000  0.000
Mo  0.500  0.500  0.500
Pd  0.000  0.000  0.000



First-principles (PBE-GGA) data for a relaxed TlMo2Pd crystal, as listed in Alexandria.

Output
Formation enthalpy at 0 K, meV/atom: 927
Magnetization, μB per formula unit: 0.00
Symmetry: No. 122
Raw total energy, eV per atom: -6.378
Energy above the lowest structure with this stoichiometry, meV/atom: 247

a = 5.945 Å, b = 5.945 Å, c = 5.945 Å
α = 101.61°, β = 101.61°, γ = 126.70°
Positions (direct):
Tl  0.000  0.000  0.000
Tl  0.750  0.250  0.500
Mo  0.147  0.625  0.022
Mo  0.375  0.397  0.522
Mo  0.603  0.125  0.978
Mo  0.875  0.853  0.478
Pd  0.250  0.750  0.500
Pd  0.500  0.500  0.000